1.
Mg5CdAg4 | PBE-GGA | relaxed

Calculated values
E_tot (eV/atom): -2.250
Fermi-level density of states (states/eV/cell): 2.3
Magnetization (μB/f.u.): 0.0

Unit cell a=3.366 b=3.366 c=16.815 alpha=90.00 beta=90.00 gamma=90.00
Sites, in units of the cell vectors:
1 Mg 0.000 0.000 0.000
2 Mg 0.000 0.000 0.193
3 Mg 0.000 0.000 0.386
4 Mg 0.000 0.000 0.614
5 Mg 0.000 0.000 0.807
6 Cd 0.500 0.500 0.500
7 Ag 0.500 0.500 0.097
8 Ag 0.500 0.500 0.291
9 Ag 0.500 0.500 0.709
10 Ag 0.500 0.500 0.903



2.
Cs2Dy2PuSe6 | PBE-GGA | relaxed

Calculated values
E_tot (eV/atom): -5.807
ΔE_f (raw) (eV/atom): -1.611
Fermi-level density of states (states/eV/cell): 9.4
Magnetization (μB/f.u.): 4.0

Unit cell a=7.253 b=7.253 c=8.935 alpha=97.95 beta=97.95 gamma=119.99
Sites, in units of the cell vectors:
1 Cs 0.169 0.831 0.000
2 Cs 0.831 0.169 0.000
3 Dy 0.333 0.667 0.500
4 Dy 0.667 0.333 0.500
5 Pu 0.000 0.000 0.500
6 Se 0.062 0.390 0.682
7 Se 0.267 0.267 0.319
8 Se 0.390 0.062 0.682
9 Se 0.610 0.938 0.318
10 Se 0.733 0.733 0.681
11 Se 0.938 0.610 0.318



3.
Pm3B8Os3 | PBE-GGA | relaxed

Calculated values
E_tot (eV/atom): -7.271
Fermi-level density of states (states/eV/cell): 5.1
Magnetization (μB/f.u.): 0.0

Unit cell a=8.029 b=8.029 c=8.029 alpha=157.57 beta=106.43 gamma=78.04
Sites, in units of the cell vectors:
1 Pm 0.000 0.000 0.000
2 Pm 0.282 0.282 0.000
3 Pm 0.718 0.718 0.000
4 B 0.027 0.350 0.676
5 B 0.104 0.870 0.234
6 B 0.326 0.650 0.676
7 B 0.364 0.130 0.234
8 B 0.636 0.870 0.766
9 B 0.674 0.350 0.324
10 B 0.896 0.130 0.766
11 B 0.973 0.650 0.324
12 Os 0.283 0.500 0.783
13 Os 0.500 0.000 0.500
14 Os 0.717 0.500 0.217



4.
PrHo8Mg2 | PBE-GGA | relaxed

Calculated values
E_tot (eV/atom): -3.903
Fermi-level density of states (states/eV/cell): 13.5
Magnetization (μB/f.u.): 0.0

Unit cell a=8.845 b=8.845 c=5.657 alpha=102.13 beta=102.13 gamma=121.02
Sites, in units of the cell vectors:
1 Pr 0.000 0.000 0.000
2 Ho 0.097 0.322 0.631
3 Ho 0.216 0.784 0.000
4 Ho 0.322 0.097 0.631
5 Ho 0.409 0.409 0.204
6 Ho 0.591 0.591 0.796
7 Ho 0.678 0.903 0.369
8 Ho 0.784 0.216 0.000
9 Ho 0.903 0.678 0.369
10 Mg 0.307 0.693 0.500
11 Mg 0.693 0.307 0.500



5.
LiH2Ir2 | PBE-GGA | relaxed

Calculated values
E_tot (eV/atom): -5.021
Fermi-level density of states (states/eV/cell): 9.0
E above lowest polymorph (kcal/mol of atoms): 4.243
Magnetization (μB/f.u.): 0.0

Unit cell a=3.702 b=3.702 c=8.715 alpha=90.00 beta=90.00 gamma=90.00
Sites, in units of the cell vectors:
1 Li 0.000 0.000 0.000
2 Li 0.500 0.500 0.500
3 H 0.000 0.000 0.315
4 H 0.000 0.000 0.685
5 H 0.500 0.500 0.185
6 H 0.500 0.500 0.815
7 Ir 0.000 0.500 0.250
8 Ir 0.000 0.500 0.750
9 Ir 0.500 0.000 0.250
10 Ir 0.500 0.000 0.750



6.
K2CdReSn | PBE-GGA | relaxed

Calculated values
E_tot (eV/atom): -2.964
Fermi-level density of states (states/eV/cell): 2.2
Magnetization (μB/f.u.): 3.0

Unit cell a=6.750 b=6.750 c=5.159 alpha=90.00 beta=90.00 gamma=90.00
Sites, in units of the cell vectors:
1 K 0.000 0.500 0.000
2 K 0.500 0.000 0.000
3 Cd 0.000 0.000 0.500
4 Re 0.500 0.500 0.500
5 Sn 0.500 0.500 0.000



What did the third record say?
Pm3B8Os3 | PBE-GGA | relaxed

Calculated values
E_tot (eV/atom): -7.271
Fermi-level density of states (states/eV/cell): 5.1
Magnetization (μB/f.u.): 0.0

Unit cell a=8.029 b=8.029 c=8.029 alpha=157.57 beta=106.43 gamma=78.04
Sites, in units of the cell vectors:
1 Pm 0.000 0.000 0.000
2 Pm 0.282 0.282 0.000
3 Pm 0.718 0.718 0.000
4 B 0.027 0.350 0.676
5 B 0.104 0.870 0.234
6 B 0.326 0.650 0.676
7 B 0.364 0.130 0.234
8 B 0.636 0.870 0.766
9 B 0.674 0.350 0.324
10 B 0.896 0.130 0.766
11 B 0.973 0.650 0.324
12 Os 0.283 0.500 0.783
13 Os 0.500 0.000 0.500
14 Os 0.717 0.500 0.217



Please write out number 4 again, unchanged.
PrHo8Mg2 | PBE-GGA | relaxed

Calculated values
E_tot (eV/atom): -3.903
Fermi-level density of states (states/eV/cell): 13.5
Magnetization (μB/f.u.): 0.0

Unit cell a=8.845 b=8.845 c=5.657 alpha=102.13 beta=102.13 gamma=121.02
Sites, in units of the cell vectors:
1 Pr 0.000 0.000 0.000
2 Ho 0.097 0.322 0.631
3 Ho 0.216 0.784 0.000
4 Ho 0.322 0.097 0.631
5 Ho 0.409 0.409 0.204
6 Ho 0.591 0.591 0.796
7 Ho 0.678 0.903 0.369
8 Ho 0.784 0.216 0.000
9 Ho 0.903 0.678 0.369
10 Mg 0.307 0.693 0.500
11 Mg 0.693 0.307 0.500



> The lowest E_tot belongs to which entry?

Pm3B8Os3



> Look up the Fermi-level density of states of the sixth one.

2.2 states/eV/cell